First-principles (PBE with a Hubbard U) data for crystalline MoPOsO2 at its relaxed geometry, as listed in Alexandria via LeMat-Bulk.

Computed properties:
- N(E_F): 3.47 states/eV per cell
- Excess energy over the best structure of this formula in the dataset: 0 meV per atom
- Energy: -0.510 Ry/atom

Cell: 3.7641 3.7641 5.4577 Å, 90.00 90.00 90.00°
Closest atoms and distances in Å follow each position.
Sites, in units of the cell vectors:
1 Mo 0.0000 0.0000 0.0000  4 P 2.66
2 P 0.5000 0.5000 0.0000  4 Mo 2.66, 2 Os 2.73
3 Os 0.5000 0.5000 0.5000  4 O 1.88
4 O 0.0000 0.5000 0.5000  2 Os 1.88
5 O 0.5000 0.0000 0.5000  2 Os 1.88